No. 1
LaSb2Mo | PBE | optimized geometry

ΔE_f (raw) (eV/f.u.): 0.76
Total DFT energy (no corrections) (eV per cell): -69.73

Unit cell a=3.5408 b=3.5408 c=28.8497 alpha=90.00 beta=90.00 gamma=120.00
Closest atoms and distances in Å follow each position.
Space group R3m (No. 160, hexagonal axes)
Unique sites:
1 La 0.0000 0.0000 0.0000 x3  3 Mo 3.06, 3 Sb 3.40
2 Sb 0.0000 0.0000 0.2393 x3  3 La 3.40, 9 Sb 3.51-3.54
3 Sb 0.0000 0.0000 0.4736 x3  3 Mo 2.71
4 Mo 0.0000 0.0000 0.7455 x3  3 Sb 2.71

No. 2
LaZnCl | PBE | optimized geometry

ΔE_f (raw) (eV/f.u.): -1.87
Total DFT energy (no corrections) (eV per cell): -39.69

Unit cell a=7.0032 b=7.0032 c=7.0032 alpha=90.00 beta=90.00 gamma=90.00
Closest atoms and distances in Å follow each position.
Space group F-43m (No. 216)
Unique sites:
1 La 0.0000 0.0000 0.0000 x4  4 Cl 3.03, 4 Zn 3.03
2 Zn 0.2500 0.2500 0.2500 x4  4 La 3.03
3 Cl 0.2500 0.2500 0.7500 x4  4 La 3.03

No. 3
ScMn2As4 | PBE | optimized geometry

Total DFT energy (no corrections) (eV per cell): -84.00

Unit cell a=5.0239 b=5.0239 c=12.6872 alpha=90.00 beta=90.00 gamma=90.00
Closest atoms and distances in Å follow each position.
Space group I4/mmm (No. 139)
Unique sites:
1 Sc 0.0000 0.0000 0.0000 x2  6 As 2.51-2.68
2 Mn 0.0000 0.0000 0.3970 x4  1 As 2.36, 1 Mn 2.61
3 As 0.0000 0.0000 0.2114 x4  1 Mn 2.36
4 As 0.0000 0.5000 0.0000 x4  2 Sc 2.51

No. 4
Dy2HoGa3 | PBE | optimized geometry

Total DFT energy (no corrections) (eV per cell): -52.72

Unit cell a=5.0361 b=5.0361 c=12.3722 alpha=90.00 beta=90.00 gamma=120.00
Closest atoms and distances in Å follow each position.
Space group P-3m1 (No. 164)
Unique sites:
1 Dy 0.0000 0.0000 0.0000 x1  8 Ga 3.09-3.10
2 Dy 0.0000 0.0000 0.5000 x1  8 Ga 3.08-3.09
3 Dy 0.3333 0.6667 0.1672 x2  8 Ga 3.08-3.10
4 Ho 0.3333 0.6667 0.6668 x2  8 Ga 3.08-3.09
5 Ga 0.0000 0.0000 0.2504 x2  3 Ho 3.08, 5 Dy 3.08-3.10
6 Ga 0.3333 0.6667 0.4170 x2  4 Dy 3.08-3.09, 4 Ho 3.09
7 Ga 0.3333 0.6667 0.9165 x2  7 Dy 3.09-3.10, 1 Ho 3.09

Look up the total DFT energy (no corrections) of the third one. -84.00 eV per cell

Which of these has the highest total DFT energy (no corrections)? LaZnCl

Which of these has the lowest total DFT energy (no corrections)? ScMn2As4

Copy entry 3 word for word.
ScMn2As4 | PBE | optimized geometry

Total DFT energy (no corrections) (eV per cell): -84.00

Unit cell a=5.0239 b=5.0239 c=12.6872 alpha=90.00 beta=90.00 gamma=90.00
Closest atoms and distances in Å follow each position.
Space group I4/mmm (No. 139)
Unique sites:
1 Sc 0.0000 0.0000 0.0000 x2  6 As 2.51-2.68
2 Mn 0.0000 0.0000 0.3970 x4  1 As 2.36, 1 Mn 2.61
3 As 0.0000 0.0000 0.2114 x4  1 Mn 2.36
4 As 0.0000 0.5000 0.0000 x4  2 Sc 2.51